Compound: ErThMnFe
Source: Alexandria
Functional: PBE-GGA
Structure: relaxed

Results
* space group: F-43m, No. 216
* V: 333 Å³/cell
* energy of formation from the pure elements: 134 meV/atom
* electronic total energy: -7.270 eV/atom
* density: 10159 kg/m³

a = 6.9347 Å, b = 6.9347 Å, c = 6.9347 Å
α = 90.00°, β = 90.00°, γ = 90.00°
Positions (direct):
Er  0.0000  0.0000  0.0000
Er  0.0000  0.5000  0.5000
Er  0.5000  0.0000  0.5000
Er  0.5000  0.5000  0.0000
Th  0.0000  0.0000  0.5000
Th  0.0000  0.5000  0.0000
Th  0.5000  0.0000  0.0000
Th  0.5000  0.5000  0.5000
Mn  0.2500  0.2500  0.7500
Mn  0.2500  0.7500  0.2500
Mn  0.7500  0.2500  0.2500
Mn  0.7500  0.7500  0.7500
Fe  0.2500  0.2500  0.2500
Fe  0.2500  0.7500  0.7500
Fe  0.7500  0.2500  0.7500
Fe  0.7500  0.7500  0.2500

---

Compound: ErTmMnFe
Source: Alexandria
Functional: PBE-GGA
Structure: relaxed

Results
* space group: F-43m, No. 216
* V: 319 Å³/cell
* energy of formation from the pure elements: 144 meV/atom
* electronic total energy: -6.522 eV/atom
* density: 9297 kg/m³

a = 6.8353 Å, b = 6.8353 Å, c = 6.8353 Å
α = 90.00°, β = 90.00°, γ = 90.00°
Positions (direct):
Er  0.0000  0.0000  0.0000
Er  0.0000  0.5000  0.5000
Er  0.5000  0.0000  0.5000
Er  0.5000  0.5000  0.0000
Tm  0.0000  0.0000  0.5000
Tm  0.0000  0.5000  0.0000
Tm  0.5000  0.0000  0.0000
Tm  0.5000  0.5000  0.5000
Mn  0.2500  0.2500  0.7500
Mn  0.2500  0.7500  0.2500
Mn  0.7500  0.2500  0.2500
Mn  0.7500  0.7500  0.7500
Fe  0.2500  0.2500  0.2500
Fe  0.2500  0.7500  0.7500
Fe  0.7500  0.2500  0.7500
Fe  0.7500  0.7500  0.2500

---

Compound: ErFe4Mo
Source: Alexandria
Functional: PBE-GGA
Structure: relaxed

Results
* space group: F-43m, No. 216
* V: 84 Å³/cell
* energy of formation from the pure elements: 60 meV/atom
* electronic total energy: -8.147 eV/atom
* density: 9627 kg/m³

a = 4.9145 Å, b = 4.9145 Å, c = 4.9145 Å
α = 60.00°, β = 60.00°, γ = 60.00°
Positions (direct):
Er  0.0000  0.0000  0.0000
Fe  0.1275  0.6242  0.6242
Fe  0.6242  0.1275  0.6242
Fe  0.6242  0.6242  0.1275
Fe  0.6242  0.6242  0.6242
Mo  0.2500  0.2500  0.2500

---

What is the formula in the first record?
ErThMnFe

---

What is the energy of formation from the pure elements in the third record?
60 meV/atom

---

Look up the density of the first one.
10159 kg/m³

---

The highest density belongs to which entry?
ErThMnFe